[1]
First-principles (PBE) data for crystalline In3Hg12F5 at its relaxed geometry, as listed in Alexandria via LeMat-Bulk.

Structure (CIF):
```
data_In3Hg12F5
_chemical_formula_sum 'In12 Hg48 F20'
_symmetry_space_group_name_H-M 'P 1'
_symmetry_Int_Tables_number 1
_symmetry_space_group_name_Hall 'P 1'
_cell_length_a 14.201
_cell_length_b 14.201
_cell_length_c 14.201
_cell_angle_alpha 109.47
_cell_angle_beta 109.47
_cell_angle_gamma 109.47
loop_
_atom_site_label
_atom_site_fract_x
_atom_site_fract_y
_atom_site_fract_z
In1 0.125 0.875 0.750
In2 0.375 0.750 0.625
In3 0.250 0.625 0.875
In4 0.625 0.250 0.375
In5 0.750 0.375 0.125
In6 0.875 0.125 0.250
In7 0.625 0.375 0.750
In8 0.750 0.875 0.625
In9 0.875 0.750 0.125
In10 0.250 0.125 0.375
In11 0.375 0.625 0.250
In12 0.125 0.250 0.875
Hg1 0.676 0.456 0.583
Hg2 0.093 0.176 0.220
Hg3 0.456 0.676 0.083
Hg4 0.220 0.544 0.627
Hg5 0.417 0.373 0.593
Hg6 0.044 0.627 0.720
Hg7 0.780 0.324 0.907
Hg8 0.373 0.956 0.780
Hg9 0.127 0.407 0.083
Hg10 0.780 0.456 0.373
Hg11 0.873 0.280 0.456
Hg12 0.583 0.627 0.407
Hg13 0.280 0.873 0.956
Hg14 0.044 0.417 0.824
Hg15 0.544 0.324 0.917
Hg16 0.176 0.083 0.956
Hg17 0.917 0.093 0.873
Hg18 0.417 0.044 0.324
Hg19 0.373 0.417 0.093
Hg20 0.907 0.824 0.780
Hg21 0.324 0.544 0.417
Hg22 0.220 0.676 0.093
Hg23 0.407 0.127 0.583
Hg24 0.083 0.176 0.456
Hg25 0.083 0.907 0.127
Hg26 0.956 0.583 0.176
Hg27 0.917 0.824 0.544
Hg28 0.676 0.220 0.593
Hg29 0.627 0.044 0.220
Hg30 0.407 0.280 0.324
Hg31 0.824 0.907 0.280
Hg32 0.093 0.917 0.373
Hg33 0.544 0.220 0.127
Hg34 0.873 0.593 0.917
Hg35 0.720 0.127 0.044
Hg36 0.907 0.083 0.627
Hg37 0.593 0.720 0.676
Hg38 0.176 0.093 0.720
Hg39 0.593 0.873 0.417
Hg40 0.324 0.780 0.407
Hg41 0.720 0.593 0.176
Hg42 0.627 0.583 0.907
Hg43 0.583 0.956 0.676
Hg44 0.280 0.407 0.824
Hg45 0.956 0.373 0.280
Hg46 0.127 0.720 0.544
Hg47 0.824 0.917 0.044
Hg48 0.456 0.780 0.873
F1 0.250 0.375 0.625
F2 0.500 0.500 0.000
F3 0.125 0.375 0.250
F4 0.750 0.125 0.875
F5 0.500 0.000 0.000
F6 0.000 0.000 0.000
F7 0.250 0.875 0.125
F8 0.000 0.000 0.500
F9 0.875 0.625 0.750
F10 0.750 0.625 0.375
F11 0.125 0.750 0.375
F12 0.375 0.250 0.125
F13 0.500 0.000 0.500
F14 0.875 0.250 0.625
F15 0.375 0.125 0.750
F16 0.000 0.500 0.000
F17 0.000 0.500 0.500
F18 0.500 0.500 0.500
F19 0.625 0.750 0.875
F20 0.625 0.875 0.250
```

Values from the calculation:
The space-group type is Ia-3d (230). The value obtained for the final energy is -1.5448 eV/atom. As for the magnetization: 0.0 μB/cell. As for the raw formation energy: -0.49 eV per atom.

---

[2]
First-principles (PBE) data for crystalline Pr2InTe6Pb3 at its relaxed geometry, as listed in Alexandria via LeMat-Bulk.

Structure (CIF):
```
data_Pr2InTe6Pb3
_chemical_formula_sum 'Pr2 In1 Te6 Pb3'
_symmetry_space_group_name_H-M 'P 1'
_symmetry_Int_Tables_number 1
_symmetry_space_group_name_Hall 'P 1'
_cell_length_a 4.580
_cell_length_b 9.376
_cell_length_c 10.327
_cell_angle_alpha 103.18
_cell_angle_beta 102.81
_cell_angle_gamma 90.00
loop_
_atom_site_label
_atom_site_fract_x
_atom_site_fract_y
_atom_site_fract_z
Te1 0.994 0.744 0.989
Te2 0.006 0.256 0.011
Te3 0.327 0.900 0.655
Te4 0.668 0.592 0.336
Te5 0.673 0.100 0.345
Te6 0.332 0.408 0.664
Pr1 0.832 0.655 0.664
Pr2 0.168 0.345 0.336
In1 0.500 0.000 0.000
Pb1 0.160 0.848 0.320
Pb2 0.500 0.500 0.000
Pb3 0.840 0.152 0.680
```

Values from the calculation:
The space-group type is C2/m (12). The value obtained for the final energy is -4.2464 eV/atom. As for the magnetization: 0.0 μB/cell. As for the raw formation energy: -0.72 eV per atom.